1.
SrCrNi2 | PBE | relaxed

N(E_F)	5.5	states/eV/f.u.
calculated density	6.02	g/cm³
space-group type	I-4m2, No. 119
E	-5.066	eV/atom

a = 4.021 Å, b = 4.021 Å, c = 8.768 Å
α = 90.00°, β = 90.00°, γ = 90.00°
Fractional positions:
Sr1 0.000 0.000 0.000
Sr2 0.500 0.500 0.500
Cr1 0.000 0.500 0.750
Cr2 0.500 0.000 0.250
Ni1 0.000 0.000 0.500
Ni2 0.000 0.500 0.250
Ni3 0.500 0.000 0.750
Ni4 0.500 0.500 0.000



2.
SrCrNi2 | PBE | relaxed

N(E_F)	5.6	states/eV/f.u.
calculated density	5.36	g/cm³
space-group type	R-3m, No. 166
E	-5.575	eV/atom

a = 4.178 Å, b = 4.178 Å, c = 15.787 Å
α = 90.00°, β = 90.00°, γ = 120.00°
Fractional positions:
Sr1 0.000 0.000 0.000
Sr2 0.333 0.667 0.667
Sr3 0.667 0.333 0.333
Cr1 0.000 0.000 0.500
Cr2 0.333 0.667 0.167
Cr3 0.667 0.333 0.833
Ni1 0.000 0.000 0.190
Ni2 0.000 0.000 0.810
Ni3 0.333 0.667 0.476
Ni4 0.333 0.667 0.857
Ni5 0.667 0.333 0.143
Ni6 0.667 0.333 0.524



Q: Which formula does entry 1 have?
A: SrCrNi2



Q: What is the N(E_F) in the second record?
A: 5.6 states/eV/f.u.



What did the first record say?
SrCrNi2 | PBE | relaxed

N(E_F)	5.5	states/eV/f.u.
calculated density	6.02	g/cm³
space-group type	I-4m2, No. 119
E	-5.066	eV/atom

a = 4.021 Å, b = 4.021 Å, c = 8.768 Å
α = 90.00°, β = 90.00°, γ = 90.00°
Fractional positions:
Sr1 0.000 0.000 0.000
Sr2 0.500 0.500 0.500
Cr1 0.000 0.500 0.750
Cr2 0.500 0.000 0.250
Ni1 0.000 0.000 0.500
Ni2 0.000 0.500 0.250
Ni3 0.500 0.000 0.750
Ni4 0.500 0.500 0.000